(1)
Computed, not measured: a relaxed structure of Zr2CrIn at the GGA-PBE level of DFT.

Summary:
Calculated volume   79.2 Å³/cell
Uncorrected energy   -0.547 Ry/atom

POSCAR file:
```
Zr2CrIn
1.0
3.3331 0.0000 0.0000
0.0000 3.3329 0.0106
0.0000 3.3058 7.1414
Cr In Zr
1 1 2
Cartesian
1.6666 1.6597 1.7880 Cr
1.6666 4.9790 5.3641 In
0.0000 3.3335 0.2687 Zr
0.0000 3.3187 3.3179 Zr
```

(2)
Computed, not measured: a relaxed structure of ZrCrIn2 at the GGA-PBE level of DFT.

Summary:
Calculated volume   81.6 Å³/cell
Uncorrected energy   -0.429 Ry/atom
Energy above the lowest structure with this stoichiometry   59 meV per atom

POSCAR file:
```
ZrCrIn2
1.0
-4.0707 0.1246 -3.3763
0.0703 -4.4105 -2.9204
0.2253 0.7355 5.2339
Cr In Zr
1 2 1
Cartesian
-2.9228 -0.6414 -0.6454 Cr
-3.9999 -4.2853 -6.2960 In
-2.0007 -2.1434 -3.1491 In
-0.8523 -2.9090 -0.4174 Zr
```

(3)
Computed, not measured: a relaxed structure of ZrCrIn2 at the GGA-PBE level of DFT.

Summary:
Calculated volume   83.0 Å³/cell
Uncorrected energy   -0.427 Ry/atom
Energy above the lowest structure with this stoichiometry   79 meV per atom

POSCAR file:
```
ZrCrIn2
1.0
-3.1199 3.8801 -2.4030
-5.3991 0.9880 -0.6606
-1.5859 2.9529 2.8267
Cr In Zr
1 2 1
Cartesian
-2.5003 1.9478 -0.0376 Cr
-8.5152 4.8671 -3.0602 In
-7.5781 5.8655 -0.1772 In
-5.0828 3.9190 -0.1439 Zr
```